Record 1
Nd2Ho3Sn4 | PBE | relaxed

Cell: 7.013 8.933 9.254 Å, 90.00 112.27 90.00°
Sites, in units of the cell vectors:
Nd1 0.111 0.589 0.222
Nd2 0.889 0.411 0.778
Nd3 0.389 0.089 0.778
Nd4 0.611 0.911 0.222
Ho1 0.000 0.000 0.000
Ho2 0.500 0.500 0.000
Ho3 0.543 0.750 0.586
Ho4 0.957 0.250 0.414
Ho5 0.457 0.250 0.414
Ho6 0.043 0.750 0.586
Sn1 0.719 0.750 0.937
Sn2 0.781 0.250 0.063
Sn3 0.281 0.250 0.063
Sn4 0.219 0.750 0.937
Sn5 0.186 0.945 0.372
Sn6 0.814 0.055 0.628
Sn7 0.314 0.445 0.628
Sn8 0.686 0.555 0.372

Computed properties:
**ρ**: 7.8 g/cm3
**Energy relative to the elements**: -540 kJ/mol of formula units
**SG**: Cmce, No. 64
**Energy above the most stable polymorph in this dataset**: 16.0 kJ/mol of atoms

Record 2
NdHo3Sn2 | PBE | relaxed

Cell: 4.585 10.410 9.505 Å, 124.58 90.00 102.72°
Sites, in units of the cell vectors:
Nd1 0.885 0.771 0.905
Nd2 0.115 0.229 0.095
Ho1 0.307 0.615 0.503
Ho2 0.944 0.888 0.578
Ho3 0.644 0.288 0.806
Ho4 0.356 0.712 0.194
Ho5 0.056 0.112 0.422
Ho6 0.693 0.385 0.497
Sn1 0.489 0.978 0.833
Sn2 0.511 0.022 0.167
Sn3 0.758 0.516 0.227
Sn4 0.242 0.484 0.773

Computed properties:
**ρ**: 8.1 g/cm3
**Energy relative to the elements**: -288 kJ/mol of formula units
**SG**: C2/m, No. 12

Record 3
Nd3Ho2Sn4 | PBE | relaxed

Cell: 4.557 7.163 9.991 Å, 115.40 90.00 108.55°
Sites, in units of the cell vectors:
Nd1 0.624 0.247 0.698
Nd2 0.000 0.000 0.000
Nd3 0.376 0.753 0.302
Ho1 0.679 0.358 0.345
Ho2 0.321 0.642 0.655
Sn1 0.705 0.411 0.060
Sn2 0.295 0.589 0.940
Sn3 0.931 0.863 0.584
Sn4 0.069 0.137 0.416

Computed properties:
**ρ**: 7.5 g/cm3
**Energy relative to the elements**: -536 kJ/mol of formula units
**SG**: C2/m, No. 12

Record 4
Nd4Ho3Sn4 | PBE | relaxed

Cell: 3.564 9.622 10.851 Å, 116.32 99.45 90.00°
Sites, in units of the cell vectors:
Nd1 0.337 0.161 0.674
Nd2 0.663 0.487 0.326
Nd3 0.663 0.839 0.326
Nd4 0.337 0.513 0.674
Ho1 0.090 0.090 0.180
Ho2 0.910 0.910 0.820
Ho3 0.000 0.500 0.000
Sn1 0.277 0.777 0.554
Sn2 0.723 0.223 0.446
Sn3 0.500 0.779 0.000
Sn4 0.500 0.221 0.000

Computed properties:
**ρ**: 7.8 g/cm3
**Energy relative to the elements**: -586 kJ/mol of formula units
**SG**: Immm, No. 71